# AlCrH2 (PBE, relaxed)
data_AlCrH2
_cell_length_a 3.9919
_cell_length_b 3.9919
_cell_length_c 8.6087
_cell_angle_alpha 90.00
_cell_angle_beta 90.00
_cell_angle_gamma 90.00
_symmetry_space_group_name_H-M 'I -4 2 d'
_symmetry_Int_Tables_number 122
_symmetry_space_group_name_Hall 'I -4 2bw'
loop_
_atom_site_label
_atom_site_fract_x
_atom_site_fract_y
_atom_site_fract_z
Al1 0.0000 0.0000 0.0000
Cr1 0.0000 0.0000 0.5000
H1 0.2099 0.2500 0.6250
# Energy relative to the lowest polymorph listed for this composition: 0.0466 eV/atom

---

# AlCrH6 (PBE, relaxed)
data_AlCrH6
_cell_length_a 6.8616
_cell_length_b 5.2029
_cell_length_c 4.5445
_cell_angle_alpha 90.00
_cell_angle_beta 113.23
_cell_angle_gamma 90.00
_symmetry_space_group_name_H-M 'C 1 2/m 1'
_symmetry_Int_Tables_number 12
loop_
_symmetry_equiv_pos_as_xyz
'x,y,z'
'-x,-y,-z'
'-x,y,-z'
'x,-y,z'
'x+1/2,y+1/2,z'
'-x+1/2,-y+1/2,-z'
'-x+1/2,y+1/2,-z'
'x+1/2,-y+1/2,z'
loop_
_atom_site_label
_atom_site_fract_x
_atom_site_fract_y
_atom_site_fract_z
Al1 0.0000 0.0000 0.0000
Cr1 0.0000 0.5000 0.0000
H1 0.0735 0.2513 0.2795
H2 0.2477 0.5000 0.0030
# Raw total energy: -4.0660 eV per atom

---

# AlCrH2 (PBE, relaxed)
data_AlCrH2
_cell_length_a 3.1716
_cell_length_b 4.5298
_cell_length_c 4.4731
_cell_angle_alpha 90.00
_cell_angle_beta 90.00
_cell_angle_gamma 90.00
_symmetry_space_group_name_H-M 'A m m 2'
_symmetry_Int_Tables_number 38
loop_
_symmetry_equiv_pos_as_xyz
'x,y,z'
'-x,-y,z'
'-x,y,z'
'x,-y,z'
'x,y+1/2,z+1/2'
'-x,-y+1/2,z+1/2'
'-x,y+1/2,z+1/2'
'x,-y+1/2,z+1/2'
loop_
_atom_site_label
_atom_site_fract_x
_atom_site_fract_y
_atom_site_fract_z
Al1 0.0000 0.0000 0.0000
Cr1 0.5000 0.0000 0.4751
H1 0.5000 0.1868 0.7961
# Energy relative to the lowest polymorph listed for this composition: 0.0325 eV/atom

---

# AlCrH (PBE, relaxed)
data_AlCrH
_cell_length_a 4.4624
_cell_length_b 2.8143
_cell_length_c 4.5766
_cell_angle_alpha 90.00
_cell_angle_beta 90.87
_cell_angle_gamma 90.00
_symmetry_space_group_name_H-M 'P 1 21/m 1'
_symmetry_Int_Tables_number 11
loop_
_symmetry_equiv_pos_as_xyz
'x,y,z'
'-x,-y,-z'
'-x,y+1/2,-z'
'x,-y+1/2,z'
loop_
_atom_site_label
_atom_site_fract_x
_atom_site_fract_y
_atom_site_fract_z
Al1 0.2454 0.2500 0.0748
Cr1 0.2286 0.7500 0.5797
H1 0.4486 0.2500 0.6576
# Energy relative to the lowest polymorph listed for this composition: 0.0768 eV/atom